The following is a DFT calculation (PBE) of a relaxed OsBr3 crystal.

Cell and atoms, written as POSCAR:
```
OsBr3
1.0
-0.740 -2.849 0.712
3.187 -0.411 1.670
-3.727 2.927 7.834
Br Os
3 1
direct
0.000 0.000 0.121
0.500 0.500 0.799
0.500 0.000 0.449
0.000 0.500 0.298
```

Summary:
Space-group type: No. 25
Total energy in eV/atom: -3.449



The following is a DFT calculation (PBE) of a relaxed OsBr crystal.

Cell and atoms, written as POSCAR:
```
OsBr
1.0
-6.257 0.634 6.562
5.732 -3.945 5.847
3.256 8.163 2.316
Os Br
8 8
direct
0.596 0.596 0.404
0.904 0.096 0.096
0.404 0.596 0.596
0.096 0.904 0.096
0.596 0.404 0.596
0.404 0.404 0.404
0.096 0.096 0.904
0.904 0.904 0.904
0.749 0.251 0.749
0.251 0.749 0.749
0.249 0.751 0.249
0.751 0.249 0.249
0.249 0.249 0.751
0.751 0.751 0.751
0.749 0.749 0.251
0.251 0.251 0.251
```

Summary:
Excess energy over the best structure of this formula in the dataset in meV/atom: 665
Space-group type: No. 217
Total energy in eV/atom: -5.377



The following is a DFT calculation (PBE) of a relaxed Os3Br crystal.

Cell and atoms, written as POSCAR:
```
Os3Br
1.0
-2.482 -2.846 -1.174
2.640 -2.743 1.067
-1.582 -0.113 3.622
Br Os
1 3
direct
0.000 0.000 0.000
0.000 0.500 0.500
0.500 0.500 0.000
0.500 0.000 0.500
```

Summary:
Excess energy over the best structure of this formula in the dataset in meV/atom: 962
Space-group type: No. 221
Total energy in eV/atom: -7.116



The following is a DFT calculation (PBE) of a relaxed Os5Br crystal.

Cell and atoms, written as POSCAR:
```
Os5Br
1.0
1.407 5.062 -0.016
-1.407 5.062 -0.016
0.000 1.880 6.409
Br Os
1 5
direct
0.012 0.012 0.017
0.316 0.316 0.352
0.757 0.757 0.045
0.657 0.657 0.662
0.375 0.375 0.700
0.050 0.050 0.390
```

Summary:
Excess energy over the best structure of this formula in the dataset in meV/atom: 0
Space-group type: No. 8
Total energy in eV/atom: -8.881



The following is a DFT calculation (PBE) of a relaxed OsBr crystal.

Cell and atoms, written as POSCAR:
```
OsBr
1.0
2.526 -4.375 0.000
2.526 4.375 0.000
0.000 0.000 7.292
Br Os
4 4
direct
0.000 0.000 0.250
0.000 0.000 0.750
0.667 0.333 0.250
0.333 0.667 0.750
0.667 0.333 0.914
0.333 0.667 0.086
0.333 0.667 0.414
0.667 0.333 0.586
```

Summary:
Excess energy over the best structure of this formula in the dataset in meV/atom: 1571
Space-group type: No. 194
Total energy in eV/atom: -4.470



The following is a DFT calculation (PBE) of a relaxed OsBr3 crystal.

Cell and atoms, written as POSCAR:
```
OsBr3
1.0
-1.794 2.319 -6.906
-6.277 -0.166 -4.107
4.273 1.807 5.897
Br Os
3 1
direct
0.397 0.397 0.000
0.750 0.250 0.500
0.103 0.103 0.000
0.250 0.750 0.500
```

Summary:
Space-group type: No. 71
Total energy in eV/atom: -3.585



The following is a DFT calculation (PBE) of a relaxed OsBr crystal.

Cell and atoms, written as POSCAR:
```
OsBr
1.0
-3.909 0.616 2.414
-4.111 -0.628 -2.047
-2.621 -3.650 1.137
Os Br
2 2
direct
0.500 0.500 0.500
0.750 0.750 0.750
0.000 0.000 0.000
0.250 0.250 0.250
```

Summary:
Excess energy over the best structure of this formula in the dataset in meV/atom: 1314
Space-group type: No. 227
Total energy in eV/atom: -4.728



The following is a DFT calculation (PBE) of a relaxed OsBr3 crystal.

Cell and atoms, written as POSCAR:
```
OsBr3
1.0
-4.992 2.642 -1.172
-1.334 -4.182 -3.742
-2.564 -2.967 4.230
Br Os
6 2
direct
0.750 0.500 0.000
0.000 0.750 0.500
0.500 0.000 0.750
0.000 0.250 0.500
0.250 0.500 0.000
0.500 0.000 0.250
0.500 0.500 0.500
0.000 0.000 0.000
```

Summary:
Space-group type: No. 223
Total energy in eV/atom: -2.631



The following is a DFT calculation (PBE) of a relaxed OsBr crystal.

Cell and atoms, written as POSCAR:
```
OsBr
1.0
2.053 -6.497 3.410
3.034 -4.051 5.696
-5.023 -3.082 5.453
Os Br
3 3
direct
0.697 0.697 0.249
0.059 0.059 0.418
0.600 0.600 0.583
0.424 0.424 0.412
0.084 0.084 0.837
0.303 0.303 0.001
```

Summary:
Excess energy over the best structure of this formula in the dataset in meV/atom: 262
Space-group type: No. 8
Total energy in eV/atom: -5.780



The following is a DFT calculation (PBE) of a relaxed OsBr crystal.

Cell and atoms, written as POSCAR:
```
OsBr
1.0
3.739 0.000 0.000
1.869 3.238 0.000
1.869 1.079 3.053
Os Br
1 1
direct
0.500 0.500 0.500
0.000 0.000 0.000
```

Summary:
Excess energy over the best structure of this formula in the dataset in meV/atom: 1727
Space-group type: No. 225
Total energy in eV/atom: -4.314



The following is a DFT calculation (PBE) of a relaxed OsBr crystal.

Cell and atoms, written as POSCAR:
```
OsBr
1.0
10.390 0.000 0.000
-5.195 8.998 0.000
0.000 0.000 3.522
Br Os
6 6
direct
0.849 0.666 0.250
0.818 0.151 0.250
0.182 0.849 0.750
0.151 0.334 0.750
0.666 0.818 0.750
0.334 0.182 0.250
0.007 0.431 0.250
0.576 0.007 0.750
0.424 0.993 0.250
0.569 0.576 0.250
0.431 0.424 0.750
0.993 0.569 0.750
```

Summary:
Excess energy over the best structure of this formula in the dataset in meV/atom: 489
Space-group type: No. 176
Total energy in eV/atom: -5.553



The following is a DFT calculation (PBE) of a relaxed Os3Br4 crystal.

Cell and atoms, written as POSCAR:
```
Os3Br4
1.0
-4.763 1.408 0.285
1.192 -4.316 -2.170
-0.802 -4.395 8.302
Os Br
3 4
direct
0.500 0.000 0.000
0.000 0.500 0.000
0.500 0.500 0.000
0.333 0.667 0.500
0.000 0.000 0.186
0.667 0.333 0.500
0.000 0.000 0.814
```

Summary:
Excess energy over the best structure of this formula in the dataset in meV/atom: 538
Space-group type: No. 191
Total energy in eV/atom: -4.344



no.,formation energy without anion corrections (eV/atom)
1,0.613
2,1.075
3,1.725
4,0.756
5,1.981
6,0.477
7,1.723
8,1.431
9,0.671
10,2.137
11,0.899
12,1.425